Entry P
Below is Ta3Nb4W after structural relaxation, with properties calculated at the PBE level.

Output
The density is 12.4 g/cm3.

The structure in POSCAR format:
```
Ta3Nb4W
1.0
2.716 0.000 0.000
0.000 9.772 0.000
-1.358 -4.886 5.545
W Nb Ta
1 4 3
Direct
0.500 0.000 0.000
0.374 0.622 0.748
0.374 0.126 0.748
0.626 0.378 0.252
0.626 0.874 0.252
0.244 0.244 0.487
0.000 0.500 0.000
0.756 0.756 0.513
```

=====

Entry Q
Below is Ta3Nb4W after structural relaxation, with properties calculated at the PBE level.

Output
The density is 12.7 g/cm3.

The structure in POSCAR format:
```
Ta3Nb4W
1.0
-4.260 -1.538 1.060
-0.712 -2.280 -6.170
3.599 -8.174 2.605
Nb W Ta
8 2 6
Direct
0.500 0.746 0.500
0.000 0.746 0.250
0.500 0.746 0.000
0.000 0.254 0.750
0.000 0.254 0.250
0.500 0.254 0.000
0.500 0.254 0.500
0.000 0.746 0.750
0.000 0.500 0.500
0.000 0.500 0.000
0.500 0.500 0.250
0.500 0.000 0.750
0.500 0.000 0.250
0.000 0.000 0.500
0.000 0.000 0.000
0.500 0.500 0.750
```

=====

We find entry Q to be the most stable, with the next structure 254 meV per atom higher.